Here is a geometry-optimized Pr4Hg3Ru structure from Alexandria via LeMat-Bulk. Energies are from PBE.

Magnetization, μB/atom: 0.07
Density of states at the Fermi level, states/eV/cell: 8.5
Energy relative to the elements, meV per atom: -369
VASP energy, eV per atom: -4.031

a b c (Å): 3.701 3.701 15.883
angles (deg): 90.00 90.00 90.00
Space group P4/mmm (No. 123)
One atom of each set of equivalent atoms:
1 Pr 0.000 0.000 0.106 [2 per cell]
2 Pr 0.000 0.000 0.371 [2 per cell]
3 Hg 0.500 0.500 0.244 [2 per cell]
4 Hg 0.500 0.500 0.500 [1 per cell]
5 Ru 0.500 0.500 0.000 [1 per cell]